(1)
DFT (PBE-GGA) results for a geometry-optimized UTeHI structure.

Lattice parameters (Å, degrees): 6.8929 3.9797 8.1509 90.00 106.45 90.00
Last column: nearest neighbours and their distance in Å.
Space group Cm (No. 8)
One atom of each set of equivalent atoms:
U 0.0000 0.0000 0.0000  3 H 2.30
Te 0.2477 0.0000 0.7443  3 U 3.05, 3 H 3.10
H 0.1702 0.5000 0.0106  3 U 2.30
I 0.4267 0.0000 0.2789  3 H 3.11, 3 U 3.17

Summary:
mass density: 7.644 g/cm3
total moment: 4.000 Bohr magnetons per cell
calculated volume: 214.4 Å³ per cell
raw total energy: -5.485 eV per atom



(2)
DFT (PBE-GGA) results for a geometry-optimized Ca5Sb structure.

Lattice parameters (Å, degrees): 4.8286 16.3412 5.3083 90.00 90.00 90.00
Last column: nearest neighbours and their distance in Å.
Space group Cmmm (No. 65)
One atom of each set of equivalent atoms:
Ca 0.0000 0.0000 0.0000  4 Sb 3.59, 8 Ca 3.62-3.64
Ca 0.0000 0.1507 0.5000  2 Sb 3.45, 6 Ca 3.60-3.62
Ca 0.0000 0.3330 0.0000  10 Ca 3.60-3.99, 2 Sb 3.81
Sb 0.0000 0.5000 0.5000  12 Ca 3.45-3.81

Summary:
energy relative to the elements, uncorrected: -0.34 eV per atom
mass density: 2.554 g/cm3
total moment: 0.000 Bohr magnetons per cell
calculated volume: 418.9 Å³ per cell
raw total energy: -2.694 eV per atom



(3)
DFT (PBE-GGA) results for a geometry-optimized HgMoIr2 structure.

Lattice parameters (Å, degrees): 3.9048 3.9048 8.4467 90.00 90.00 90.00
Last column: nearest neighbours and their distance in Å.
Space group I-4m2 (No. 119)
One atom of each set of equivalent atoms:
Hg 0.0000 0.0000 0.0000  8 Ir 2.76-2.88, 4 Mo 2.88
Mo 0.0000 0.5000 0.7500  8 Ir 2.76-2.88, 4 Hg 2.88
Ir 0.0000 0.0000 0.5000  4 Hg 2.76, 4 Mo 2.88, 4 Ir 2.88
Ir 0.0000 0.5000 0.2500  4 Mo 2.76, 4 Hg 2.88, 4 Ir 2.88

Summary:
formation energy from the elements: 1.389 eV/f.u.
mass density: 17.560 g/cm3
total moment: 0.000 Bohr magnetons per cell
calculated volume: 128.8 Å³ per cell
raw total energy: -6.866 eV per atom



(4)
DFT (PBE-GGA) results for a geometry-optimized B3ClF structure.

Lattice parameters (Å, degrees): 3.9723 3.9723 3.9723 90.00 90.00 90.00
Last column: nearest neighbours and their distance in Å.
Space group Pm-3m (No. 221)
One atom of each set of equivalent atoms:
B 0.0000 0.0000 0.5000  2 Cl 1.99
Cl 0.0000 0.0000 0.0000  6 B 1.99
F 0.5000 0.5000 0.5000  12 B 2.81

Summary:
energy relative to the elements, uncorrected: 2.41 eV per atom
mass density: 2.302 g/cm3
total moment: 0.000 Bohr magnetons per cell
calculated volume: 62.7 Å³ per cell
raw total energy: -2.337 eV per atom



(5)
DFT (PBE-GGA) results for a geometry-optimized ErHfGaCo structure.

Lattice parameters (Å, degrees): 6.6877 6.6877 6.6877 90.00 90.00 90.00
Last column: nearest neighbours and their distance in Å.
Space group F-43m (No. 216)
One atom of each set of equivalent atoms:
Er 0.0000 0.0000 0.0000  4 Co 2.90, 4 Ga 2.90
Hf 0.0000 0.0000 0.5000  4 Co 2.90, 4 Ga 2.90
Ga 0.2500 0.2500 0.7500  4 Hf 2.90, 4 Er 2.90
Co 0.2500 0.2500 0.2500  4 Hf 2.90, 4 Er 2.90

Summary:
formation energy from the elements: -1.119 eV/f.u.
mass density: 10.535 g/cm3
total moment: 3.092 Bohr magnetons per cell
calculated volume: 299.1 Å³ per cell
raw total energy: -6.442 eV per atom



(6)
DFT (PBE-GGA) results for a geometry-optimized IrBr structure.

Lattice parameters (Å, degrees): 8.2579 8.2579 8.2579 90.00 90.00 90.00
Last column: nearest neighbours and their distance in Å.
Space group I-43m (No. 217)
One atom of each set of equivalent atoms:
Ir 0.1075 0.1075 0.8925  1 Br 2.41, 3 Ir 2.51
Br 0.2239 0.2239 0.2239  1 Ir 2.41

Summary:
energy relative to the elements, uncorrected: 0.86 eV per atom
mass density: 6.419 g/cm3
total moment: 0.000 Bohr magnetons per cell
calculated volume: 563.1 Å³ per cell
raw total energy: -4.409 eV per atom



(7)
DFT (PBE-GGA) results for a geometry-optimized La2Tb4DyHo structure.

Lattice parameters (Å, degrees): 5.0914 5.1275 10.1533 90.00 90.05 90.00
Last column: nearest neighbours and their distance in Å.
Space group P2/m (No. 10)
One atom of each set of equivalent atoms:
La 0.0000 0.0000 0.0000  8 Tb 3.60, 4 Ho 3.61
La 0.5000 0.5000 0.5000  8 Tb 3.60, 4 Dy 3.61
Tb 0.9996 0.5000 0.2490  2 Ho 3.58-3.59, 4 La 3.60, 4 Tb 3.61, 2 Dy 3.61
Tb 0.5001 0.0000 0.2505  2 Dy 3.59, 4 La 3.60, 2 Ho 3.61, 4 Tb 3.61
Dy 0.0000 0.0000 0.5000  8 Tb 3.59-3.61, 4 La 3.61
Ho 0.5000 0.5000 0.0000  8 Tb 3.58-3.61, 4 La 3.61

Summary:
formation energy from the elements: 0.256 eV/f.u.
mass density: 7.774 g/cm3
total moment: 0.009 Bohr magnetons per cell
calculated volume: 265.1 Å³ per cell
raw total energy: -4.663 eV per atom



(8)
DFT (PBE-GGA) results for a geometry-optimized Ti4B2N3 structure.

Lattice parameters (Å, degrees): 3.0542 3.0542 38.0945 90.00 90.00 120.00
Last column: nearest neighbours and their distance in Å.
Space group R3m (No. 160, hexagonal axes)
One atom of each set of equivalent atoms:
Ti 0.0000 0.0000 0.0000  3 N 2.15, 3 B 2.23
Ti 0.0000 0.0000 0.2002  3 N 1.93
Ti 0.0000 0.0000 0.4021  6 B 2.16-2.28
Ti 0.0000 0.0000 0.6028  6 N 2.11-2.13
B 0.0000 0.0000 0.1066  3 Ti 2.28
B 0.0000 0.0000 0.7025  6 Ti 2.16-2.23
N 0.0000 0.0000 0.3009  6 Ti 2.13-2.15
N 0.0000 0.0000 0.5128  3 Ti 1.93
N 0.0000 0.0000 0.9058  6 Ti 2.11-2.30

Summary:
energy relative to the elements, uncorrected: -0.70 eV per atom
mass density: 4.130 g/cm3
total moment: 0.001 Bohr magnetons per cell
calculated volume: 307.7 Å³ per cell
raw total energy: -8.463 eV per atom